[1]
Below is FeTeRu2 after structural relaxation, with properties calculated at the PBE-GGA level.

```
FeTeRu2
1.0
3.285 0.000 0.000
0.000 4.351 0.000
0.000 0.000 4.351
Ru Te Fe
2 1 1
direct
0.000 0.500 0.500 Ru
0.000 0.000 0.000 Ru
0.500 0.500 0.000 Te
0.500 0.000 0.500 Fe
```

Values from the calculation:
Uncorrected energy ... -28.881 eV per formula unit
DOS at the Fermi energy ... 4.45 states/eV per cell
Formation energy (no corrections) ... 0.3189 eV per atom

---

[2]
Below is Ac6Te3SeS2 after structural relaxation, with properties calculated at the PBE-GGA level.

```
Ac6Te3SeS2
1.0
7.804 -0.003 0.000
-3.903 6.758 0.000
-1.301 -2.253 7.582
Se Ac S Te
1 6 2 3
direct
0.000 0.000 0.000 Se
0.269 0.269 0.785 Ac
0.413 0.072 0.217 Ac
0.072 0.413 0.217 Ac
0.587 0.928 0.783 Ac
0.731 0.731 0.215 Ac
0.928 0.587 0.783 Ac
0.333 0.667 0.000 S
0.667 0.333 0.000 S
0.500 0.500 0.500 Te
0.164 0.836 0.500 Te
0.836 0.164 0.500 Te
```

Values from the calculation:
Uncorrected energy ... -66.518 eV per formula unit
DOS at the Fermi energy ... 3.70 states/eV per cell
Formation energy (no corrections) ... -1.7253 eV per atom

---

[3]
Below is AcTbBi after structural relaxation, with properties calculated at the PBE-GGA level.

```
AcTbBi
1.0
-2.994 1.311 2.729
1.923 -2.141 3.139
8.049 11.463 0.000
Bi Tb Ac
2 2 2
direct
0.927 0.927 0.853 Bi
0.073 0.073 0.147 Bi
0.399 0.399 0.797 Tb
0.601 0.601 0.203 Tb
0.799 0.799 0.597 Ac
0.201 0.201 0.403 Ac
```

Values from the calculation:
Uncorrected energy ... -13.438 eV per formula unit
Polymorph energy (0 for the lowest one) ... 193 meV/atom
DOS at the Fermi energy ... 4.97 states/eV per cell
ΔH_f (0 K) ... -0.27 eV per atom

---

[4]
Below is RbGaGe after structural relaxation, with properties calculated at the PBE-GGA level.

```
RbGaGe
1.0
8.406 0.000 0.000
0.000 4.802 0.000
0.000 0.000 7.760
Rb Ga Ge
4 4 4
direct
0.499 0.750 0.839 Rb
0.001 0.250 0.339 Rb
0.999 0.750 0.661 Rb
0.501 0.250 0.161 Rb
0.656 0.750 0.412 Ga
0.344 0.250 0.588 Ga
0.156 0.750 0.088 Ga
0.844 0.250 0.912 Ga
0.336 0.750 0.403 Ge
0.664 0.250 0.597 Ge
0.836 0.750 0.097 Ge
0.164 0.250 0.903 Ge
```

Values from the calculation:
Uncorrected energy ... -8.752 eV per formula unit
DOS at the Fermi energy ... 0.32 states/eV per cell
ΔH_f (0 K) ... -0.05 eV per atom

---

[5]
Below is Ca2InPd5 after structural relaxation, with properties calculated at the PBE-GGA level.

```
Ca2InPd5
1.0
-4.681 3.969 0.745
-0.696 -1.916 5.836
5.151 1.657 -2.116
Pd Ca In
5 2 1
direct
0.722 0.722 0.944 Pd
0.722 0.722 0.445 Pd
0.222 0.222 0.944 Pd
0.722 0.222 0.944 Pd
0.222 0.722 0.944 Pd
0.222 0.722 0.445 Ca
0.722 0.222 0.445 Ca
0.221 0.221 0.443 In
```

Values from the calculation:
Uncorrected energy ... -37.567 eV per formula unit
DOS at the Fermi energy ... 2.69 states/eV per cell
ΔH_f (0 K) ... -0.61 eV per atom

---

[6]
Below is Pr5Sm3 after structural relaxation, with properties calculated at the PBE-GGA level.

```
Pr5Sm3
1.0
3.707 0.000 0.000
0.000 5.981 0.000
0.000 0.000 12.840
Pr Sm
5 3
direct
0.500 0.000 0.209 Pr
0.000 0.000 0.462 Pr
0.000 0.000 0.956 Pr
0.000 0.500 0.293 Pr
0.500 0.500 0.039 Pr
0.500 0.000 0.708 Sm
0.500 0.500 0.544 Sm
0.000 0.500 0.789 Sm
```

Values from the calculation:
Uncorrected energy ... -37.794 eV per formula unit
DOS at the Fermi energy ... 14.10 states/eV per cell
ΔH_f (0 K) ... 0.03 eV per atom

---

[7]
Below is SmBe2BIr after structural relaxation, with properties calculated at the PBE-GGA level.

```
SmBe2BIr
1.0
3.529 0.000 0.000
0.000 3.639 0.000
-1.764 -1.820 5.345
Be Sm B Ir
2 1 1 1
direct
0.073 0.073 0.147 Be
0.704 0.204 0.408 Be
0.434 0.434 0.867 Sm
0.806 0.806 0.611 B
0.195 0.695 0.391 Ir
```

Values from the calculation:
Uncorrected energy ... -29.506 eV per formula unit
DOS at the Fermi energy ... 2.91 states/eV per cell
ΔH_f (0 K) ... -0.36 eV per atom

---

[8]
Below is HfTiW4 after structural relaxation, with properties calculated at the PBE-GGA level.

```
HfTiW4
1.0
5.336 0.000 0.000
2.668 4.621 0.000
2.668 1.540 4.357
Hf W Ti
1 4 1
direct
0.250 0.250 0.250 Hf
0.625 0.625 0.625 W
0.125 0.625 0.625 W
0.625 0.625 0.125 W
0.625 0.125 0.625 W
0.000 0.000 0.000 Ti
```

Values from the calculation:
Uncorrected energy ... -70.066 eV per formula unit
DOS at the Fermi energy ... 3.38 states/eV per cell
ΔH_f (0 K) ... -0.07 eV per atom

---

[9]
Below is NaSnPS2 after structural relaxation, with properties calculated at the PBE-GGA level.

```
NaSnPS2
1.0
-1.347 -0.944 4.878
-2.947 -3.917 -1.572
3.939 -3.155 0.477
Sn S P Na
1 2 1 1
direct
0.000 0.000 0.000 Sn
0.500 0.000 0.000 S
0.000 0.500 0.000 S
0.000 0.000 0.500 P
0.500 0.500 0.500 Na
```

Values from the calculation:
Uncorrected energy ... -18.050 eV per formula unit
Polymorph energy (0 for the lowest one) ... 0 meV/atom
DOS at the Fermi energy ... 2.87 states/eV per cell
Formation energy (no corrections) ... 0.1873 eV per atom

---

[10]
Below is SiAu after structural relaxation, with properties calculated at the PBE-GGA level.

```
SiAu
1.0
3.023 0.048 -0.021
-0.015 3.142 -0.020
-1.511 -1.593 3.952
Au Si
1 1
direct
0.455 0.963 0.533 Au
0.695 0.713 0.025 Si
```

Values from the calculation:
Uncorrected energy ... -8.501 eV per formula unit
DOS at the Fermi energy ... 0.59 states/eV per cell
Formation energy (no corrections) ... 0.0995 eV per atom

---

[11]
Below is NbReI2 after structural relaxation, with properties calculated at the PBE-GGA level.

```
NbReI2
1.0
6.186 0.000 0.000
0.000 6.186 0.000
3.093 3.093 5.996
I Re Nb
4 2 2
direct
0.375 0.355 0.750 I
0.105 0.625 0.250 I
0.645 0.125 0.250 I
0.875 0.895 0.750 I
0.000 0.000 0.000 Re
0.750 0.250 0.500 Re
0.500 0.500 0.000 Nb
0.250 0.750 0.500 Nb
```

Values from the calculation:
Uncorrected energy ... -19.724 eV per formula unit
Polymorph energy (0 for the lowest one) ... 289 meV/atom
DOS at the Fermi energy ... 5.14 states/eV per cell
Formation energy (no corrections) ... 1.4734 eV per atom

---

[12]
Below is Mn5V6As after structural relaxation, with properties calculated at the PBE-GGA level.

```
Mn5V6As
1.0
3.919 0.017 -1.144
-0.804 5.149 -2.681
-0.058 0.350 7.095
V Mn As
6 5 1
direct
0.830 0.086 0.660 V
0.170 0.425 0.340 V
0.500 0.263 0.000 V
0.170 0.914 0.340 V
0.830 0.575 0.660 V
0.500 0.737 0.000 V
0.000 0.500 0.000 Mn
0.332 0.832 0.664 Mn
0.667 0.667 0.335 Mn
0.333 0.333 0.665 Mn
0.668 0.168 0.336 Mn
0.000 0.000 0.000 As
```

Values from the calculation:
Uncorrected energy ... -107.595 eV per formula unit
DOS at the Fermi energy ... 9.72 states/eV per cell
ΔH_f (0 K) ... -0.20 eV per atom